A plane-wave DFT calculation with PBE-GGA was carried out for a relaxed structure of NdZn2SiRu2.

POSCAR file:
```
NdZn2SiRu2
1.0
4.452 0.000 0.000
0.000 4.452 0.000
0.000 0.000 5.699
Nd Zn Si Ru
1 2 1 2
direct
0.000 0.000 0.000
0.500 0.500 0.235
0.500 0.500 0.765
0.000 0.000 0.500
0.000 0.500 0.500
0.500 0.000 0.500
```

raw total energy	-5.47	eV/atom
density of states at the Fermi level	0.4953	states/eV/atom
ΔE_f (raw)	-0.258	eV per atom